No. 1
A plane-wave DFT calculation with GGA-PBE was carried out for crystalline Ac2Tb15Er2 at its relaxed geometry.

Properties
- DFT total energy: -81.10 eV per formula unit
- Energy relative to the elements: 0.300 eV per atom
- Spin magnetization: 0.0000 μB per atom

CIF file:
```
data_Ac2Tb15Er2
_symmetry_space_group_name_H-M 'R -3 m'
_symmetry_Int_Tables_number 166
_symmetry_space_group_name_Hall '-R 3 2"'
_cell_length_a 11.2684
_cell_length_b 11.2684
_cell_length_c 17.7429
_cell_angle_alpha 90.00
_cell_angle_beta 90.00
_cell_angle_gamma 120.00
loop_
_atom_site_label
_atom_site_fract_x
_atom_site_fract_y
_atom_site_fract_z
Ac1 0.0000 0.0000 0.1118
Tb1 0.0000 0.3074 0.0000
Tb2 0.0000 0.5000 0.5000
Tb3 0.0205 0.5103 0.1366
Er1 0.0000 0.0000 0.3287
```

***

No. 2
A plane-wave DFT calculation with GGA-PBE was carried out for crystalline EuFeN at its relaxed geometry.

Properties
- DFT total energy: -27.31 eV per formula unit
- Formation energy without anion corrections: -0.2 eV/f.u.
- Spin magnetization: 2.6181 μB per atom

CIF file:
```
data_EuFeN
_symmetry_space_group_name_H-M 'P -6 m 2'
_symmetry_Int_Tables_number 187
_symmetry_space_group_name_Hall 'P -6 2'
_cell_length_a 3.3177
_cell_length_b 3.3177
_cell_length_c 4.4850
_cell_angle_alpha 90.00
_cell_angle_beta 90.00
_cell_angle_gamma 120.00
loop_
_atom_site_label
_atom_site_fract_x
_atom_site_fract_y
_atom_site_fract_z
Eu1 0.0000 0.0000 0.0000
Fe1 0.6667 0.3333 0.5000
N1 0.3333 0.6667 0.5000
```

***

No. 3
A plane-wave DFT calculation with GGA-PBE was carried out for crystalline MnPbAu at its relaxed geometry.

Properties
- DFT total energy: -15.88 eV per formula unit
- Energy relative to the elements: 0.091 eV per atom
- Spin magnetization: 1.2603 μB per atom

CIF file:
```
data_MnPbAu
_symmetry_space_group_name_H-M 'I 4/m m m'
_symmetry_Int_Tables_number 139
_symmetry_space_group_name_Hall '-I 4 2'
_cell_length_a 3.3352
_cell_length_b 3.3352
_cell_length_c 23.7444
_cell_angle_alpha 90.00
_cell_angle_beta 90.00
_cell_angle_gamma 90.00
loop_
_atom_site_label
_atom_site_fract_x
_atom_site_fract_y
_atom_site_fract_z
Mn1 0.0000 0.0000 0.2185
Pb1 0.0000 0.0000 0.0729
Au1 0.0000 0.0000 0.3392
```

***

No. 4
A plane-wave DFT calculation with GGA-PBE was carried out for crystalline CaZn2SiPt at its relaxed geometry.

Properties
- DFT total energy: -18.73 eV per formula unit
- Formation energy without anion corrections: -2.7 eV/f.u.
- Spin magnetization: 0.0000 μB per atom

CIF file:
```
data_CaZn2SiPt
_symmetry_space_group_name_H-M 'I m m 2'
_symmetry_Int_Tables_number 44
_symmetry_space_group_name_Hall 'I 2 -2'
_cell_length_a 4.0690
_cell_length_b 4.1789
_cell_length_c 10.7177
_cell_angle_alpha 90.00
_cell_angle_beta 90.00
_cell_angle_gamma 90.00
loop_
_atom_site_label
_atom_site_fract_x
_atom_site_fract_y
_atom_site_fract_z
Ca1 0.0000 0.0000 0.0000
Zn1 0.0000 0.0000 0.6114
Zn2 0.0000 0.5000 0.2546
Si1 0.0000 0.0000 0.3833
Pt1 0.0000 0.5000 0.7616
```

***

No. 5
A plane-wave DFT calculation with GGA-PBE was carried out for crystalline AgRh3C at its relaxed geometry.

Properties
- DFT total energy: -18.51 eV per formula unit
- Energy relative to the elements: 3.125 eV per atom
- Spin magnetization: 0.2182 μB per atom

CIF file:
```
data_AgRh3C
_symmetry_space_group_name_H-M 'P m -3 m'
_symmetry_Int_Tables_number 221
_symmetry_space_group_name_Hall '-P 4 2 3'
_cell_length_a 4.8356
_cell_length_b 4.8356
_cell_length_c 4.8356
_cell_angle_alpha 90.00
_cell_angle_beta 90.00
_cell_angle_gamma 90.00
loop_
_atom_site_label
_atom_site_fract_x
_atom_site_fract_y
_atom_site_fract_z
Ag1 0.0000 0.0000 0.0000
Rh1 0.0000 0.0000 0.5000
C1 0.5000 0.5000 0.5000
```

***

No. 6
A plane-wave DFT calculation with GGA-PBE was carried out for crystalline Ti3Pd2Rh at its relaxed geometry.

Properties
- DFT total energy: -44.82 eV per formula unit
- Energy relative to the elements: -0.566 eV per atom
- Spin magnetization: 0.0000 μB per atom

CIF file:
```
data_Ti3Pd2Rh
_symmetry_space_group_name_H-M 'P 4/m m m'
_symmetry_Int_Tables_number 123
_symmetry_space_group_name_Hall '-P 4 2'
_cell_length_a 3.2970
_cell_length_b 3.2970
_cell_length_c 8.6063
_cell_angle_alpha 90.00
_cell_angle_beta 90.00
_cell_angle_gamma 90.00
loop_
_atom_site_label
_atom_site_fract_x
_atom_site_fract_y
_atom_site_fract_z
Ti1 0.0000 0.0000 0.0000
Ti2 0.0000 0.0000 0.3396
Pd1 0.5000 0.5000 0.1648
Rh1 0.5000 0.5000 0.5000
```

***

No. 7
A plane-wave DFT calculation with GGA-PBE was carried out for crystalline Zr2HgAs at its relaxed geometry.

Properties
- DFT total energy: -24.00 eV per formula unit
- Energy relative to the elements: -0.488 eV per atom
- Spin magnetization: 0.0000 μB per atom

CIF file:
```
data_Zr2HgAs
_symmetry_space_group_name_H-M 'P 4/m m m'
_symmetry_Int_Tables_number 123
_symmetry_space_group_name_Hall '-P 4 2'
_cell_length_a 3.4960
_cell_length_b 3.4960
_cell_length_c 6.7092
_cell_angle_alpha 90.00
_cell_angle_beta 90.00
_cell_angle_gamma 90.00
loop_
_atom_site_label
_atom_site_fract_x
_atom_site_fract_y
_atom_site_fract_z
Zr1 0.0000 0.0000 0.2251
Hg1 0.5000 0.5000 0.5000
As1 0.5000 0.5000 0.0000
```

***

No. 8
A plane-wave DFT calculation with GGA-PBE was carried out for crystalline TaAgTe4 at its relaxed geometry.

Properties
- DFT total energy: -20.53 eV per formula unit
- Formation energy without anion corrections: 6.7 eV/f.u.
- Spin magnetization: 0.4462 μB per atom

CIF file:
```
data_TaAgTe4
_symmetry_space_group_name_H-M 'F -4 3 m'
_symmetry_Int_Tables_number 216
_symmetry_space_group_name_Hall 'F -4 2 3'
_cell_length_a 8.7605
_cell_length_b 8.7605
_cell_length_c 8.7605
_cell_angle_alpha 90.00
_cell_angle_beta 90.00
_cell_angle_gamma 90.00
loop_
_atom_site_label
_atom_site_fract_x
_atom_site_fract_y
_atom_site_fract_z
Ta1 0.0000 0.0000 0.0000
Ag1 0.2500 0.2500 0.2500
Te1 0.1251 0.1251 0.6251
```

***

No. 9
A plane-wave DFT calculation with GGA-PBE was carried out for crystalline Si2IrSe at its relaxed geometry.

Properties
- DFT total energy: -22.92 eV per formula unit
- Formation energy without anion corrections: 0.3 eV/f.u.
- Spin magnetization: 0.0000 μB per atom

CIF file:
```
data_Si2IrSe
_symmetry_space_group_name_H-M 'I m m 2'
_symmetry_Int_Tables_number 44
_symmetry_space_group_name_Hall 'I 2 -2'
_cell_length_a 2.8267
_cell_length_b 3.4661
_cell_length_c 14.5003
_cell_angle_alpha 90.00
_cell_angle_beta 90.00
_cell_angle_gamma 90.00
loop_
_atom_site_label
_atom_site_fract_x
_atom_site_fract_y
_atom_site_fract_z
Si1 0.0000 0.0000 0.0000
Si2 0.0000 0.5000 0.2129
Ir1 0.0000 0.5000 0.6388
Se1 0.0000 0.0000 0.3948
```

***

No. 10
A plane-wave DFT calculation with GGA-PBE was carried out for crystalline Rb6SBr2Cl3 at its relaxed geometry.

Properties
- DFT total energy: -38.07 eV per formula unit
- Formation energy without anion corrections: -19.2 eV/f.u.
- Spin magnetization: 0.0841 μB per atom

CIF file:
```
data_Rb6SBr2Cl3
_symmetry_space_group_name_H-M 'C 1 2/m 1'
_symmetry_Int_Tables_number 12
_symmetry_space_group_name_Hall '-C 2y'
_cell_length_a 8.1960
_cell_length_b 14.6014
_cell_length_c 8.5199
_cell_angle_alpha 90.00
_cell_angle_beta 109.71
_cell_angle_gamma 90.00
loop_
_atom_site_label
_atom_site_fract_x
_atom_site_fract_y
_atom_site_fract_z
Rb1 0.2402 0.0000 0.2333
Rb2 0.2476 0.1664 0.7592
S1 0.0000 0.0000 0.5000
Br1 0.0000 0.3379 0.5000
Cl1 0.0000 0.1686 0.0000
Cl2 0.0000 0.5000 0.0000
```

***

No. 11
A plane-wave DFT calculation with GGA-PBE was carried out for crystalline Ta2Pd6Rh at its relaxed geometry.

Properties
- DFT total energy: -65.98 eV per formula unit
- Energy relative to the elements: -0.418 eV per atom
- Spin magnetization: 0.0000 μB per atom

CIF file:
```
data_Ta2Pd6Rh
_symmetry_space_group_name_H-M 'C 1 2/m 1'
_symmetry_Int_Tables_number 12
_symmetry_space_group_name_Hall '-C 2y'
_cell_length_a 12.0629
_cell_length_b 3.8823
_cell_length_c 6.3110
_cell_angle_alpha 90.00
_cell_angle_beta 108.52
_cell_angle_gamma 90.00
loop_
_atom_site_label
_atom_site_fract_x
_atom_site_fract_y
_atom_site_fract_z
Ta1 0.0578 0.0000 0.3141
Pd1 0.1043 0.5000 0.6622
Pd2 0.1650 0.0000 0.9999
Pd3 0.2195 0.5000 0.3364
Rh1 0.0000 0.5000 0.0000
```

***

No. 12
A plane-wave DFT calculation with GGA-PBE was carried out for crystalline LiSi2Pt at its relaxed geometry.

Properties
- DFT total energy: -19.79 eV per formula unit
- Formation energy without anion corrections: -1.0 eV/f.u.
- Spin magnetization: 0.0000 μB per atom

CIF file:
```
data_LiSi2Pt
_symmetry_space_group_name_H-M 'C m m m'
_symmetry_Int_Tables_number 65
_symmetry_space_group_name_Hall '-C 2 2'
_cell_length_a 5.0383
_cell_length_b 7.6850
_cell_length_c 2.8636
_cell_angle_alpha 90.00
_cell_angle_beta 90.00
_cell_angle_gamma 90.00
loop_
_atom_site_label
_atom_site_fract_x
_atom_site_fract_y
_atom_site_fract_z
Li1 0.0000 0.0000 0.0000
Si1 0.2500 0.2500 0.5000
Pt1 0.0000 0.5000 0.0000
```

***

No. 13
A plane-wave DFT calculation with GGA-PBE was carried out for crystalline La2Ho8Th at its relaxed geometry.

Properties
- DFT total energy: -53.50 eV per formula unit
- Energy relative to the elements: 0.036 eV per atom
- Spin magnetization: 0.0000 μB per atom

CIF file:
```
data_La2Ho8Th
_symmetry_space_group_name_H-M 'C 1 2/m 1'
_symmetry_Int_Tables_number 12
_symmetry_space_group_name_Hall '-C 2y'
_cell_length_a 18.2032
_cell_length_b 5.0681
_cell_length_c 7.9856
_cell_angle_alpha 90.00
_cell_angle_beta 105.17
_cell_angle_gamma 90.00
loop_
_atom_site_label
_atom_site_fract_x
_atom_site_fract_y
_atom_site_fract_z
La1 0.2282 0.0000 0.1352
Ho1 0.0431 0.0000 0.2318
Ho2 0.0881 0.5000 0.9503
Ho3 0.1332 0.0000 0.6731
Ho4 0.1791 0.5000 0.4056
Th1 0.0000 0.5000 0.5000
```

***

No. 14
A plane-wave DFT calculation with GGA-PBE was carried out for crystalline Na2SbPb3Se6 at its relaxed geometry.

Properties
- DFT total energy: -46.17 eV per formula unit
- Formation energy without anion corrections: -7.4 eV/f.u.
- Spin magnetization: 0.0000 μB per atom

CIF file:
```
data_Na2SbPb3Se6
_symmetry_space_group_name_H-M 'C 1 2/m 1'
_symmetry_Int_Tables_number 12
_symmetry_space_group_name_Hall '-C 2y'
_cell_length_a 7.4453
_cell_length_b 12.9068
_cell_length_c 7.3245
_cell_angle_alpha 90.00
_cell_angle_beta 109.78
_cell_angle_gamma 90.00
loop_
_atom_site_label
_atom_site_fract_x
_atom_site_fract_y
_atom_site_fract_z
Na1 0.0000 0.1664 0.0000
Sb1 0.0000 0.5000 0.0000
Pb1 0.0000 0.0000 0.5000
Pb2 0.0000 0.3323 0.5000
Se1 0.2365 0.3423 0.2321
Se2 0.2359 0.5000 0.7555
```

***

No. 15
A plane-wave DFT calculation with GGA-PBE was carried out for crystalline B5C7 at its relaxed geometry.

Properties
- DFT total energy: -93.25 eV per formula unit
- Energy relative to the elements: 0.392 eV per atom
- Spin magnetization: 0.0000 μB per atom

CIF file:
```
data_B5C7
_symmetry_space_group_name_H-M 'C 1 m 1'
_symmetry_Int_Tables_number 8
_symmetry_space_group_name_Hall 'C -2y'
_cell_length_a 8.7393
_cell_length_b 2.6152
_cell_length_c 7.7788
_cell_angle_alpha 90.00
_cell_angle_beta 117.08
_cell_angle_gamma 90.00
loop_
_atom_site_label
_atom_site_fract_x
_atom_site_fract_y
_atom_site_fract_z
B1 0.0000 0.0000 0.0000
B2 0.0007 0.5000 0.1662
B3 0.1654 0.0000 0.4630
B4 0.1751 0.5000 0.8726
B5 0.3292 0.5000 0.7605
C1 0.0051 0.0000 0.5109
C2 0.0089 0.5000 0.6247
C3 0.1796 0.0000 0.9894
C4 0.1800 0.5000 0.3488
C5 0.3308 0.0000 0.1925
C6 0.3351 0.5000 0.3146
C7 0.3618 0.0000 0.6789
```

***

No. 16
A plane-wave DFT calculation with GGA-PBE was carried out for crystalline Ca4CdIr at its relaxed geometry.

Properties
- DFT total energy: -14.13 eV per formula unit
- Energy relative to the elements: 0.609 eV per atom
- Spin magnetization: 0.0000 μB per atom

CIF file:
```
data_Ca4CdIr
_symmetry_space_group_name_H-M 'F -4 3 m'
_symmetry_Int_Tables_number 216
_symmetry_space_group_name_Hall 'F -4 2 3'
_cell_length_a 8.6414
_cell_length_b 8.6414
_cell_length_c 8.6414
_cell_angle_alpha 90.00
_cell_angle_beta 90.00
_cell_angle_gamma 90.00
loop_
_atom_site_label
_atom_site_fract_x
_atom_site_fract_y
_atom_site_fract_z
Ca1 0.1238 0.1238 0.3762
Cd1 0.0000 0.0000 0.0000
Ir1 0.2500 0.2500 0.7500
```

***

No. 17
A plane-wave DFT calculation with GGA-PBE was carried out for crystalline NbGaHSI at its relaxed geometry.

Properties
- DFT total energy: -23.16 eV per formula unit
- Spin magnetization: 0.0000 μB per atom

CIF file:
```
data_NbGaHSI
_symmetry_space_group_name_H-M 'C 1 m 1'
_symmetry_Int_Tables_number 8
_symmetry_space_group_name_Hall 'C -2y'
_cell_length_a 8.7273
_cell_length_b 3.2902
_cell_length_c 8.0074
_cell_angle_alpha 90.00
_cell_angle_beta 97.57
_cell_angle_gamma 90.00
loop_
_atom_site_label
_atom_site_fract_x
_atom_site_fract_y
_atom_site_fract_z
Nb1 0.0000 0.0000 0.0000
Ga1 0.3628 0.0000 0.6622
H1 0.0470 0.5000 0.8665
S1 0.2862 0.0000 0.9713
I1 0.0870 0.5000 0.2853
```